## a
Compound: KAl11O17
Source: the Alexandria database
Functional: SCAN
Structure: PBEsol geometry

abc: 5.612 5.612 11.868
angles: 76.32 76.32 60.00
Fractional positions:
Al 0.350 0.350 0.950
O 0.719 0.190 0.901
K 0.829 0.829 0.512
O 0.091 0.599 0.711
O 0.500 0.500 0.500
O 0.906 0.906 0.282
Al 0.405 0.903 0.790
Al 0.650 0.650 0.051
Al 0.550 0.550 0.350
O 0.403 0.403 0.287
Al 0.903 0.405 0.790
O 0.599 0.091 0.711
O 0.811 0.811 0.099
O 0.094 0.094 0.719
Al 0.593 0.098 0.211
O 0.279 0.811 0.099
Al 0.000 0.000 0.000
Al 0.450 0.450 0.650
O 0.297 0.297 0.109
O 0.703 0.703 0.891
O 0.907 0.403 0.287
Al 0.098 0.098 0.211
Al 0.098 0.593 0.211
O 0.190 0.190 0.901
O 0.811 0.279 0.099
O 0.403 0.907 0.287
Al 0.903 0.903 0.790
O 0.190 0.719 0.901
O 0.599 0.599 0.711

Results
Symmetry   R3m

***

## b
Compound: KAl11O17
Source: the Alexandria database
Functional: SCAN
Structure: PBEsol geometry

abc: 5.612 5.612 22.785
angles: 90.00 90.00 120.00
Fractional positions:
O 0.498 0.995 0.645
Al 0.167 0.833 0.894
O 0.000 0.000 0.859
Al 0.333 0.667 0.325
Al 0.665 0.833 0.894
Al 0.167 0.335 0.894
K 0.667 0.333 0.250
O 0.686 0.843 0.451
Al 0.335 0.167 0.394
Al 0.335 0.167 0.106
O 0.333 0.667 0.555
Al 0.000 0.000 0.500
O 0.498 0.995 0.855
K 0.333 0.667 0.750
Al 0.167 0.335 0.606
O 0.000 0.000 0.641
Al 0.333 0.667 0.475
Al 0.667 0.333 0.825
Al 0.333 0.667 0.025
O 0.005 0.502 0.645
O 0.843 0.157 0.951
O 0.667 0.333 0.055
O 0.333 0.667 0.250
O 0.502 0.498 0.355
O 0.502 0.498 0.145
Al 0.833 0.167 0.106
O 0.995 0.498 0.145
Al 0.833 0.665 0.394
O 0.157 0.314 0.451
Al 0.167 0.833 0.606
Al 0.667 0.333 0.975
O 0.667 0.333 0.750
O 0.157 0.843 0.049
O 0.995 0.498 0.355
O 0.314 0.157 0.549
O 0.314 0.157 0.951
O 0.157 0.314 0.049
O 0.843 0.157 0.549
Al 0.665 0.833 0.606
O 0.502 0.005 0.145
O 0.502 0.005 0.355
O 0.843 0.686 0.951
Al 0.667 0.333 0.525
O 0.686 0.843 0.049
O 0.667 0.333 0.445
O 0.333 0.667 0.945
O 0.843 0.686 0.549
O 0.498 0.502 0.855
Al 0.833 0.167 0.394
O 0.000 0.000 0.359
Al 0.667 0.333 0.675
O 0.157 0.843 0.451
Al 0.333 0.667 0.175
Al 0.000 0.000 0.000
Al 0.833 0.665 0.106
O 0.005 0.502 0.855
O 0.498 0.502 0.645
O 0.000 0.000 0.141

Results
Symmetry   P6_3/mmc

***

Which one sits at the bottom of the stability order? a does.

***

## a
Compound: KRb3Al
Source: the Alexandria database
Functional: SCAN
Structure: PBEsol geometry

abc: 7.391 7.391 7.391
angles: 90.00 90.00 90.00
Fractional positions:
Rb 0.000 0.500 0.000
Al 0.500 0.500 0.500
Rb 0.000 0.000 0.500
K 0.000 0.000 0.000
Rb 0.500 0.000 0.000

Results
Symmetry   Pm-3m

***

## b
Compound: KRb3Al
Source: the Alexandria database
Functional: SCAN
Structure: PBEsol geometry

abc: 7.087 7.087 7.087
angles: 90.00 90.00 90.00
Fractional positions:
Al 0.000 0.000 0.000
Rb 0.000 0.500 0.000
K 0.500 0.500 0.500
Rb 0.000 0.000 0.500
Rb 0.500 0.000 0.000

Results
Symmetry   Pm-3m

***

Which one sits at the bottom of the stability order? a does.

***

## a
Compound: KAl2Ru
Source: the Alexandria database
Functional: SCAN
Structure: PBEsol geometry

abc: 4.392 4.772 4.392
angles: 62.60 90.00 117.40
Fractional positions:
K 0.500 0.000 0.500
Ru 0.000 0.000 0.000
Al 0.750 0.500 0.750
Al 0.250 0.500 0.250

Results
Symmetry   I4/mmm

***

## b
Compound: KAl2Ru
Source: the Alexandria database
Functional: SCAN
Structure: PBEsol geometry

abc: 4.647 4.647 4.647
angles: 60.00 60.00 60.00
Fractional positions:
Ru 0.250 0.250 0.250
Al 0.000 0.000 0.000
K 0.500 0.500 0.500
Al 0.750 0.750 0.750

Results
Symmetry   F-43m

***

## c
Compound: KAl2Ru
Source: the Alexandria database
Functional: SCAN
Structure: PBEsol geometry

abc: 3.306 3.306 7.858
angles: 90.00 90.00 90.00
Fractional positions:
Al 0.000 0.000 0.948
Ru 0.500 0.500 0.859
Al 0.500 0.500 0.170
K 0.000 0.000 0.523

Results
Symmetry   P4mm

***

Which one sits at the bottom of the stability order? b does.

***

## a
Compound: KAlRu
Source: the Alexandria database
Functional: SCAN
Structure: PBEsol geometry

abc: 2.918 2.918 7.658
angles: 90.00 90.00 120.00
Each line ends with the local moment (μB).
Fractional positions:
Al 0.000 0.000 0.054  0.00
K 0.333 0.667 0.650  -0.01
Ru 0.667 0.333 0.296  0.28

Results
Symmetry   P3m1

***

## b
Compound: KAlRu
Source: the Alexandria database
Functional: SCAN
Structure: PBEsol geometry

abc: 3.338 3.338 6.447
angles: 105.00 105.00 90.00
Fractional positions:
Al 0.936 0.936 0.872
Ru 0.393 0.393 0.786
K 0.671 0.671 0.342

Results
Symmetry   I4mm

***

Which one sits at the bottom of the stability order? a does.

***

## a
Compound: K2AlTe
Source: the Alexandria database
Functional: SCAN
Structure: PBEsol geometry

abc: 5.054 5.054 12.092
angles: 102.06 102.06 90.00
Each line ends with the local moment (μB).
Fractional positions:
K 0.361 0.875 0.250  0.03
Te 0.000 0.000 0.000  0.01
K 0.125 0.111 0.750  0.03
K 0.889 0.375 0.250  0.03
K 0.625 0.639 0.750  0.03
Te 0.250 0.750 0.500  0.01
Al 0.500 0.500 0.000  0.09
Al 0.750 0.250 0.500  0.09

Results
Symmetry   I-42d

***

## b
Compound: K2AlTe
Source: the Alexandria database
Functional: SCAN
Structure: PBEsol geometry

abc: 3.722 3.722 11.367
angles: 80.58 80.58 60.00
Fractional positions:
K 0.245 0.245 0.265
K 0.755 0.755 0.735
Te 0.500 0.500 0.500
Al 0.000 0.000 0.000

Results
Symmetry   R-3m

***

Which one sits at the bottom of the stability order? b does.

***

## a
Compound: K2AlTl
Source: the Alexandria database
Functional: SCAN
Structure: PBEsol geometry

abc: 4.545 4.999 5.664
angles: 90.00 90.00 90.00
Fractional positions:
Al 0.000 0.500 0.500
K 0.500 0.500 0.000
K 0.000 0.000 0.000
Tl 0.500 0.000 0.500

Results
Symmetry   Pmmm

***

## b
Compound: K2AlTl
Source: the Alexandria database
Functional: SCAN
Structure: PBEsol geometry

abc: 6.093 7.458 7.458
angles: 80.39 65.89 65.89
Fractional positions:
K 0.375 0.495 0.005
K 0.130 0.995 0.495
Al 0.500 0.000 0.000
K 0.875 0.505 0.995
Tl 0.750 0.500 0.500
Al 0.250 0.500 0.500
K 0.620 0.005 0.505
Tl 0.000 0.000 0.000

Results
Symmetry   I-42d

***

Which one sits at the bottom of the stability order? b does.

***

## a
Compound: KAl2Tl
Source: the Alexandria database
Functional: SCAN
Structure: PBEsol geometry

abc: 3.160 4.008 8.065
angles: 90.00 90.06 90.00
Fractional positions:
Tl 0.502 0.500 0.803
Al 0.499 0.500 0.176
K 0.000 0.000 0.489
Al 0.999 0.000 0.033

Results
Symmetry   Pm

***

## b
Compound: KAl2Tl
Source: the Alexandria database
Functional: SCAN
Structure: PBEsol geometry

abc: 3.788 5.191 6.137
angles: 115.02 107.98 90.00
Fractional positions:
Tl 0.000 0.500 0.000
K 0.500 0.000 0.000
Al 0.271 0.271 0.542
Al 0.729 0.729 0.458

Results
Symmetry   Immm

***

Which one sits at the bottom of the stability order? b does.

***

## a
Compound: KAl2W
Source: the Alexandria database
Functional: SCAN
Structure: PBEsol geometry

abc: 4.731 4.731 4.731
angles: 60.00 60.00 60.00
Each line ends with the local moment (μB).
Fractional positions:
Al 0.750 0.750 0.750  -0.02
W 0.250 0.250 0.250  0.84
Al 0.000 0.000 0.000  0.01
K 0.500 0.500 0.500  0.00

Results
Symmetry   F-43m

***

## b
Compound: KAl2W
Source: the Alexandria database
Functional: SCAN
Structure: PBEsol geometry

abc: 2.743 3.837 8.318
angles: 90.00 90.00 90.00
Fractional positions:
Al 0.000 0.000 0.987
W 0.500 0.500 0.843
K 0.000 0.000 0.502
Al 0.500 0.500 0.168

Results
Symmetry   Pmm2

***

## c
Compound: KAl2W
Source: the Alexandria database
Functional: SCAN
Structure: PBEsol geometry

abc: 2.916 2.916 10.548
angles: 83.35 83.35 57.69
Fractional positions:
W 0.278 0.278 0.211
K 0.488 0.488 0.500
Al 0.007 0.007 0.004
Al 0.728 0.728 0.785

Results
Symmetry   Cm

***

## d
Compound: KAl2W
Source: the Alexandria database
Functional: SCAN
Structure: PBEsol geometry

abc: 2.650 6.171 6.582
angles: 117.95 101.61 90.00
Each line ends with the local moment (μB).
Fractional positions:
Al 0.795 0.795 0.590  0.01
W 0.500 0.000 0.000  1.06
K 0.000 0.500 0.000  0.04
Al 0.205 0.205 0.410  0.01

Results
Symmetry   Immm

***

Which one sits at the bottom of the stability order? a does.

***

## a
Compound: La5Al
Source: the Alexandria database
Functional: SCAN
Structure: PBEsol geometry

abc: 5.663 6.075 6.075
angles: 120.00 90.00 90.00
Fractional positions:
La 0.000 0.305 0.305
La 0.500 0.333 0.667
La 0.500 0.667 0.333
La 0.000 0.000 0.695
La 0.000 0.695 0.000
Al 0.500 0.000 0.000

Results
Symmetry   P-62m

***

## b
Compound: La5Al
Source: the Alexandria database
Functional: SCAN
Structure: PBEsol geometry

abc: 5.795 6.224 6.224
angles: 120.00 90.00 90.00
Fractional positions:
La 0.500 0.000 0.500
Al 0.000 0.000 0.000
La 0.000 0.667 0.333
La 0.000 0.333 0.667
La 0.500 0.500 0.000
La 0.500 0.500 0.500

Results
Symmetry   P6/mmm

***

Which one sits at the bottom of the stability order? b does.

***

## a
Compound: LaAlNi4
Source: the Alexandria database
Functional: SCAN
Structure: PBEsol geometry

abc: 4.009 4.917 4.917
angles: 117.74 90.00 90.00
Fractional positions:
Ni 0.500 0.000 0.500
La 0.000 0.500 0.500
Ni 0.500 0.500 0.000
Ni 0.000 0.171 0.829
Al 0.500 0.000 0.000
Ni 0.000 0.829 0.171

Results
Symmetry   Cmmm

***

## b
Compound: LaAlNi4
Source: the Alexandria database
Functional: SCAN
Structure: PBEsol geometry

abc: 3.823 5.111 5.111
angles: 120.00 90.00 90.00
Fractional positions:
La 0.000 0.000 0.000
Ni 0.500 0.497 0.503
Ni 0.000 0.333 0.667
Ni 0.500 0.006 0.503
Ni 0.500 0.497 0.994
Al 0.000 0.667 0.333

Results
Symmetry   P-6m2

***

Which one sits at the bottom of the stability order? b does.